{
  "formula": "Er8Bi2Mo",
  "functional": "PBE",
  "state": "relaxed",
  "lattice_angstrom": [[-0.952, -4.950, -2.273], [6.711, -0.206, -2.362], [-0.629, -0.925, 9.002]],
  "species": ["Er", "Mo", "Er", "Er", "Er", "Bi", "Er", "Er", "Bi", "Er", "Er"],
  "frac_coords": [[0.625, 0.860, 0.249], [0.500, 0.000, 0.000], [0.000, 0.240, 0.999], [0.000, 0.760, 0.001], [0.623, 0.391, 0.246], [0.188, 0.687, 0.375], [0.375, 0.140, 0.751], [0.816, 0.813, 0.631], [0.812, 0.313, 0.625], [0.377, 0.609, 0.754], [0.184, 0.187, 0.369]],
  "crystal_system": "monoclinic",
  "ef_ev_per_atom": -0.171,
  "space_group": "C2/m (12)",
  "total_energy_ev_per_atom": -5.179
}